Record 1
Density functional theory data (GGA-PBE) for a geometry-optimized YTl2InSe4 structure.

Output
Space-group type: No. 74
Uncorrected formation energy, eV per atom: -0.89

a = 8.671 Å, b = 8.671 Å, c = 8.596 Å
α = 119.71°, β = 119.71°, γ = 90.69°
Atoms (fractional coordinates):
Tl: 0.500 0.500 0.000
Se: 0.209 0.738 0.974
Tl: 0.000 0.000 0.500
Se: 0.238 0.262 0.030
Tl: 0.500 0.000 0.500
Se: 0.791 0.262 0.026
In: 0.500 0.500 0.500
Tl: 0.500 0.000 0.000
In: 0.000 0.000 0.000
Y: 0.000 0.500 0.000
Y: 0.000 0.500 0.500
Se: 0.762 0.291 0.526
Se: 0.762 0.738 0.970
Se: 0.238 0.262 0.470
Se: 0.238 0.709 0.474
Se: 0.762 0.738 0.530

=====

Record 2
Density functional theory data (GGA-PBE) for a geometry-optimized Y2Tl3InSe6 structure.

Output
Space-group type: No. 12
Uncorrected formation energy, eV per atom: -1.07

a = 7.208 Å, b = 7.208 Å, c = 8.142 Å
α = 98.53°, β = 98.53°, γ = 119.95°
Atoms (fractional coordinates):
In: 0.000 0.000 0.000
Tl: 0.830 0.170 0.500
Se: 0.742 0.742 0.206
Se: 0.933 0.607 0.798
Tl: 0.170 0.830 0.500
Se: 0.393 0.067 0.202
Tl: 0.500 0.500 0.500
Y: 0.666 0.334 0.000
Se: 0.258 0.258 0.794
Se: 0.067 0.393 0.202
Y: 0.334 0.666 0.000
Se: 0.607 0.933 0.798

=====

Record 3
Density functional theory data (GGA-PBE) for a geometry-optimized Zr2Tl2InSe6 structure.

Output
Space-group type: No. 12
Uncorrected formation energy, eV per atom: -0.92

a = 6.927 Å, b = 6.927 Å, c = 8.102 Å
α = 97.83°, β = 97.83°, γ = 120.08°
Atoms (fractional coordinates):
Se: 0.287 0.287 0.305
Zr: 0.668 0.332 0.500
Se: 0.587 0.935 0.300
In: 0.000 0.000 0.500
Zr: 0.332 0.668 0.500
Se: 0.065 0.413 0.700
Se: 0.713 0.713 0.695
Tl: 0.838 0.162 0.000
Tl: 0.162 0.838 0.000
Se: 0.935 0.587 0.300
Se: 0.413 0.065 0.700

=====

Record 4
Density functional theory data (GGA-PBE) for a geometry-optimized Tm3In2Se6 structure.

Output
Space-group type: No. 12
Uncorrected formation energy, eV per atom: -1.36

a = 7.074 Å, b = 7.068 Å, c = 7.682 Å
α = 81.21°, β = 72.23°, γ = 59.97°
Atoms (fractional coordinates):
Se: 0.742 0.000 0.784
Se: 0.258 0.000 0.216
Tm: 0.333 0.333 0.000
Se: 0.406 0.662 0.782
In: 0.167 0.666 0.500
Se: 0.932 0.662 0.218
In: 0.833 0.334 0.500
Se: 0.594 0.338 0.218
Se: 0.068 0.338 0.782
Tm: 0.000 0.000 0.000
Tm: 0.667 0.667 0.000

=====

Record 5
Density functional theory data (GGA-PBE) for a geometry-optimized Tm6InSe4 structure.

Output
Space-group type: No. 63
Uncorrected formation energy, eV per atom: -1.31

a = 3.970 Å, b = 6.932 Å, c = 20.586 Å
α = 90.00°, β = 90.00°, γ = 106.64°
Atoms (fractional coordinates):
In: 0.674 0.347 0.250
Se: 0.587 0.174 0.878
Tm: 0.500 0.000 0.500
Se: 0.858 0.715 0.537
Tm: 0.233 0.466 0.597
Se: 0.587 0.174 0.622
Tm: 0.049 0.099 0.164
In: 0.326 0.653 0.750
Tm: 0.951 0.901 0.836
Tm: 0.767 0.534 0.097
Tm: 0.951 0.901 0.664
Tm: 0.049 0.099 0.336
Se: 0.413 0.826 0.122
Se: 0.142 0.285 0.037
Tm: 0.352 0.704 0.250
Se: 0.142 0.285 0.463
Tm: 0.648 0.296 0.750
Se: 0.413 0.826 0.378
Se: 0.858 0.715 0.963
Tm: 0.767 0.534 0.403
Tm: 0.233 0.466 0.903
Tm: 0.500 0.000 0.000

=====

Record 6
Density functional theory data (GGA-PBE) for a geometry-optimized Tm3In5Se12 structure.

Output
Space-group type: No. 230
Uncorrected formation energy, eV per atom: -0.93

a = 14.216 Å, b = 14.216 Å, c = 14.216 Å
α = 109.47°, β = 109.47°, γ = 109.47°
Atoms (fractional coordinates):
Se: 0.047 0.414 0.827
In: 0.500 0.000 0.000
Se: 0.133 0.413 0.086
Se: 0.414 0.367 0.587
Se: 0.047 0.633 0.720
Se: 0.780 0.327 0.913
Se: 0.673 0.453 0.586
Se: 0.633 0.586 0.913
Se: 0.953 0.367 0.280
Se: 0.173 0.086 0.953
In: 0.750 0.125 0.875
Se: 0.367 0.414 0.087
Se: 0.953 0.586 0.173
Se: 0.280 0.413 0.827
Se: 0.720 0.587 0.173
Tm: 0.125 0.875 0.750
Tm: 0.125 0.250 0.875
Se: 0.913 0.827 0.780
In: 0.000 0.000 0.000
In: 0.000 0.500 0.000
Se: 0.220 0.673 0.087
Se: 0.327 0.780 0.413
Se: 0.780 0.453 0.367
Se: 0.587 0.867 0.414
In: 0.500 0.500 0.500
Tm: 0.625 0.250 0.375
Se: 0.633 0.047 0.220
Se: 0.453 0.673 0.086
Tm: 0.250 0.125 0.375
Tm: 0.375 0.625 0.250
Se: 0.086 0.173 0.453
In: 0.000 0.000 0.500
Tm: 0.875 0.750 0.125
In: 0.375 0.250 0.125
Tm: 0.750 0.875 0.625
In: 0.250 0.375 0.625
Se: 0.133 0.720 0.547
Se: 0.673 0.220 0.587
Se: 0.547 0.327 0.914
In: 0.500 0.500 0.000
Se: 0.220 0.547 0.633
Se: 0.087 0.914 0.367
Se: 0.867 0.587 0.914
Se: 0.367 0.953 0.780
Se: 0.280 0.867 0.953
Se: 0.586 0.953 0.673
In: 0.250 0.875 0.125
In: 0.125 0.375 0.250
Se: 0.414 0.047 0.327
Se: 0.720 0.133 0.047
Se: 0.587 0.720 0.673
Tm: 0.750 0.375 0.125
Se: 0.827 0.913 0.280
In: 0.875 0.625 0.750
Tm: 0.375 0.750 0.625
In: 0.625 0.875 0.250
Se: 0.547 0.220 0.133
In: 0.625 0.750 0.875
Tm: 0.625 0.375 0.750
In: 0.875 0.250 0.625
In: 0.125 0.750 0.375
Se: 0.867 0.280 0.453
In: 0.000 0.500 0.500
Se: 0.413 0.280 0.327
In: 0.750 0.625 0.375
Se: 0.413 0.133 0.586
Se: 0.327 0.547 0.414
In: 0.500 0.000 0.500
Se: 0.087 0.173 0.220
Se: 0.914 0.827 0.547
Tm: 0.250 0.625 0.875
Se: 0.086 0.913 0.133
Se: 0.453 0.780 0.867
Se: 0.914 0.087 0.867
Se: 0.586 0.633 0.413
In: 0.375 0.125 0.750
Se: 0.173 0.087 0.720
Se: 0.827 0.914 0.047
Se: 0.913 0.086 0.633
Tm: 0.875 0.125 0.250